YTmPuTh after structural relaxation, computed with GGA-PBE.

```
data_YTmPuTh
_chemical_formula_sum 'Y4 Tm4 Pu4 Th4'
_symmetry_space_group_name_H-M 'F -4 3 m'
_symmetry_Int_Tables_number 216
_symmetry_space_group_name_Hall 'F -4 2 3'
_cell_length_a 7.864
_cell_length_b 7.864
_cell_length_c 7.864
_cell_angle_alpha 90.00
_cell_angle_beta 90.00
_cell_angle_gamma 90.00
loop_
_atom_site_label
_atom_site_type_symbol
_atom_site_fract_x
_atom_site_fract_y
_atom_site_fract_z
Y1 Y 0.000 0.000 0.000
Tm1 Tm 0.250 0.250 0.750
Pu1 Pu 0.250 0.250 0.250
Th1 Th 0.000 0.000 0.500
```

## Properties
**Total energy**: -7.970 eV per atom
**Fermi-level density of states**: 47.40 states/eV/cell
**Total magnetic moment**: 32.25 μB per cell